No. 1
KPmMoO4: relaxed, GGA+U.

Values from the calculation:
space group = Imma (74)

Structure (extended XYZ):
```
14
Lattice="-3.3393 3.6741 4.7935 3.3393 -3.6741 4.7935 3.3393 3.6741 -4.7935" Properties=species:S:1:pos:R:3 pbc="T T T"
K 0.0000 1.8370 1.2739
K 3.3393 1.8370 3.5197
Pm 3.3393 0.0000 0.0000
Pm 0.0000 0.0000 4.7935
Mo 1.6696 1.8370 -2.3968
Mo 1.6696 -1.8370 2.3968
O 3.3393 -0.4931 2.3326
O 3.3393 3.1810 -2.3326
O 1.8882 1.8370 -0.3413
O 4.7904 1.8370 -0.3413
O -1.4511 1.8370 5.1348
O 1.4511 1.8370 5.1348
O 0.0000 0.4931 7.1262
O 0.0000 4.1672 2.4609
```


No. 2
K4Pm3MoO8: relaxed, GGA+U.

Values from the calculation:
space group = R-3m (166)

Structure (extended XYZ):
```
16
Lattice="3.5333 2.0400 6.2626 -3.5333 2.0400 6.2626 0.0000 -4.0799 6.2626" Properties=species:S:1:pos:R:3 pbc="T T T"
K 0.0000 0.0000 0.0000
K -1.7667 -1.0200 6.2626
K -1.7667 1.0200 12.5252
K 0.0000 2.0400 6.2626
Pm -3.5333 0.0000 9.3939
Pm -1.7667 1.0200 3.1313
Pm 1.7667 1.0200 3.1313
Mo 0.0000 0.0000 9.3939
O 0.0000 0.0000 4.3313
O -1.6949 -0.9786 10.5706
O 0.0000 -1.9571 8.2172
O -1.6949 0.9786 8.2172
O 1.6949 -0.9786 10.5706
O 0.0000 1.9571 10.5706
O 1.6949 0.9786 8.2172
O 0.0000 0.0000 14.4565
```


No. 3
KPmMo2O8: relaxed, GGA+U.

Values from the calculation:
space group = P-3m1 (164)

Structure (extended XYZ):
```
12
Lattice="6.1097 0.0000 0.0000 -3.0549 5.2912 0.0000 0.0000 0.0000 7.6649" Properties=species:S:1:pos:R:3 pbc="T T T"
K 0.0000 0.0000 0.0000
Pm 0.0000 0.0000 3.8325
Mo 0.0000 3.5275 5.8934
Mo 3.0549 1.7637 1.7715
O 0.0000 1.8106 5.3096
O -1.4869 4.3859 5.3096
O 0.0000 3.5275 7.6424
O 1.5680 0.9053 2.3553
O 1.4869 4.3859 5.3096
O 3.0549 1.7637 0.0226
O 4.5417 0.9053 2.3553
O 3.0549 3.4806 2.3553
```


No. 4
KPmMoO5: relaxed, GGA+U.

Values from the calculation:
space group = C2/c (15)

Structure (extended XYZ):
```
16
Lattice="3.9482 -5.1660 0.0000 3.9482 5.1660 0.0000 -3.3943 0.0000 7.5970" Properties=species:S:1:pos:R:3 pbc="T T T"
K 1.4025 3.3015 5.6978
K 3.0997 -3.3015 1.8993
Pm 3.9482 0.0000 0.0000
Pm 2.2511 0.0000 3.7985
Mo 3.0997 3.3100 1.8993
Mo 1.4025 -3.3100 5.6978
O -1.6512 0.7865 6.8312
O 1.9660 2.2608 2.8312
O 0.0460 -0.7865 3.0327
O 4.2333 2.2608 0.9673
O 1.4025 0.7740 5.6978
O 3.0997 -0.7740 1.8993
O 0.2689 -2.2608 6.6297
O 4.4562 0.7865 4.5643
O 2.5362 -2.2608 4.7658
O 6.1534 -0.7865 0.7658
```


No. 5
K2Pm2MoO6: relaxed, GGA+U.

Values from the calculation:
space group = C2/m (12)

Structure (extended XYZ):
```
11
Lattice="3.0236 -5.1441 0.0000 3.0236 5.1441 0.0000 -1.8347 0.0000 6.3698" Properties=species:S:1:pos:R:3 pbc="T T T"
K 3.0236 3.5155 0.0000
K 3.0236 -3.5155 0.0000
Pm 2.1062 1.6799 3.1849
Pm 2.1062 -1.6799 3.1849
Mo -0.9173 0.0000 3.1849
O -0.0265 1.5617 4.2764
O 0.9331 0.0000 2.0392
O -0.0265 -1.5617 4.2764
O 4.2390 1.5617 2.0934
O 3.2794 0.0000 4.3306
O 4.2390 -1.5617 2.0934
```


No. 6
KPrMoO5: relaxed, GGA+U.

Values from the calculation:
space group = C2/c (15)

Structure (extended XYZ):
```
16
Lattice="3.9857 -5.2068 0.0000 3.9857 5.2068 0.0000 -3.4158 0.0000 7.7040" Properties=species:S:1:pos:R:3 pbc="T T T"
K 1.4238 3.3375 5.7780
K 3.1317 -3.3375 1.9260
Pr 3.9857 0.0000 0.0000
Pr 2.2778 0.0000 3.8520
Mo 3.1317 3.3463 1.9260
Mo 1.4238 -3.3463 5.7780
O -1.6777 0.7907 6.9198
O 1.9909 2.2956 2.8473
O 0.0301 -0.7907 3.0678
O 4.2726 2.2956 1.0047
O 1.4238 0.8143 5.7780
O 3.1317 -0.8143 1.9260
O 0.2830 -2.2956 6.6993
O 4.5254 0.7907 4.6362
O 2.5647 -2.2956 4.8566
O 6.2333 -0.7907 0.7842
```


No. 7
K3Pr2MoO6: relaxed, GGA+U.

Values from the calculation:
space group = C2/m (12)

Structure (extended XYZ):
```
12
Lattice="3.0751 -5.3264 0.0000 3.0751 5.3264 0.0000 -2.0304 0.0000 6.2720" Properties=species:S:1:pos:R:3 pbc="T T T"
K 0.0000 0.0000 0.0000
K 3.0751 1.7059 0.0000
K 3.0751 -1.7059 0.0000
Pr 2.0599 3.5473 3.1360
Pr 2.0599 -3.5473 3.1360
Mo 2.0599 0.0000 3.1360
O 1.0967 1.6655 1.9440
O 0.1343 0.0000 4.3206
O 1.0967 -1.6655 1.9440
O 3.0231 1.6655 4.3280
O 3.9855 0.0000 1.9514
O 3.0231 -1.6655 4.3280
```


No. 8
KPrMo2O8: relaxed, GGA+U.

Values from the calculation:
space group = C2/c (15)

Structure (extended XYZ):
```
24
Lattice="5.5383 -5.1725 0.0000 5.5383 5.1725 0.0000 -5.1142 0.0000 6.3740" Properties=species:S:1:pos:R:3 pbc="T T T"
K 1.7027 4.4376 4.7805
K 4.2598 -4.4376 1.5935
Pr 1.7027 0.2406 4.7805
Pr 4.2598 -0.2406 1.5935
Mo 2.0900 2.6361 1.5033
Mo 6.4296 2.6361 1.6837
Mo -0.4671 -2.6361 4.6903
Mo 3.8725 -2.6361 4.8708
O 3.0488 3.6769 2.5367
O 0.0417 2.0336 4.5888
O 3.2760 1.5188 0.2224
O 5.4708 3.6769 0.6503
O 2.1284 1.0115 2.4193
O 0.7189 -1.5188 3.4094
O -0.4286 -1.0115 5.6063
O 3.3637 2.0336 4.9723
O 2.5988 -2.0336 1.4017
O 6.3911 1.0115 0.7678
O 5.2435 1.5188 2.9646
O 3.8340 -1.0115 3.9548
O 0.4917 -3.6769 5.7238
O 2.6865 -1.5188 6.1516
O 5.9208 -2.0336 1.7853
O 2.9137 -3.6769 3.8373
```


Number 1: calculated total energy -6.935 eV/atom, mass density 4.86 g/cm3. Number 2: calculated total energy -6.451 eV/atom, mass density 5.00 g/cm3. Number 3: calculated total energy -7.125 eV/atom, mass density 3.38 g/cm3. Number 4: calculated total energy -6.961 eV/atom, mass density 3.86 g/cm3. Number 5: calculated total energy -6.803 eV/atom, mass density 4.69 g/cm3. Number 6: calculated total energy -6.938 eV/atom, mass density 3.70 g/cm3. Number 7: calculated total energy -6.370 eV/atom, mass density 4.78 g/cm3. Number 8: calculated total energy -7.118 eV/atom, mass density 4.55 g/cm3.